1.
A plane-wave DFT calculation with PBE was carried out for an optimized crystal structure of TaPd5Pt6.

It has space group Immm (No. 71), with a = 3.953 Å, b = 7.992 Å, c = 11.849 Å, α = 90.00°, β = 90.00° and γ = 90.00°. Symmetry generates all atoms from Ta at (0.000, 0.000, 0.000), Pd at (0.000, 0.000, 0.336), Pd at (0.000, 0.500, 0.000), Pd at (0.000, 0.500, 0.334), Pt at (0.000, 0.246, 0.165) and Pt at (0.000, 0.258, 0.500).

2.
A plane-wave DFT calculation with PBE was carried out for an optimized crystal structure of TaPdPt2.

It has space group Cmcm (No. 63), with a = 4.416 Å, b = 7.608 Å, c = 8.148 Å, α = 90.00°, β = 90.00° and γ = 90.00°. Symmetry generates all atoms from Ta at (0.000, 0.165, 0.250), Pd at (0.000, 0.499, 0.250) and Pt at (0.000, 0.167, 0.582).

3.
A plane-wave DFT calculation with PBE was carried out for an optimized crystal structure of Ta2Pd8Pt.

It has space group C2/m (No. 12), with a = 14.183 Å, b = 4.005 Å, c = 6.424 Å, α = 90.00°, β = 107.39° and γ = 90.00°. Symmetry generates all atoms from Ta at (0.219, 0.000, 0.158), Pd at (0.046, 0.000, 0.231), Pd at (0.097, 0.500, 0.952), Pd at (0.146, 0.000, 0.705), Pd at (0.180, 0.500, 0.410) and Pt at (0.000, 0.500, 0.500).

4.
A plane-wave DFT calculation with PBE was carried out for an optimized crystal structure of TaPd2Pt8.

It has space group C2/m (No. 12), with a = 14.347 Å, b = 3.959 Å, c = 6.315 Å, α = 90.00°, β = 105.37° and γ = 90.00°. Symmetry generates all atoms from Ta at (0.000, 0.000, 0.000), Pd at (0.224, 0.500, 0.631), Pt at (0.045, 0.500, 0.729), Pt at (0.090, 0.000, 0.441), Pt at (0.133, 0.500, 0.174) and Pt at (0.180, 0.000, 0.912).

| no. | ΔE_f (eV per atom) |
| --- | --- |
| 1 | -0.3064 |
| 2 | -0.4214 |
| 3 | -0.3237 |
| 4 | -0.3420 |